1.
The following is a DFT calculation (PBE) of Ho2Er5Al4 after structural relaxation.

Summary:
Formation energy in eV per atom: 0.2216

a = 4.9287 Å, b = 10.5915 Å, c = 12.8211 Å
α = 90.00°, β = 90.00°, γ = 90.00°
Space group Immm (No. 71)
Asymmetric unit:
Ho1 0.0000 0.0000 0.1784
Er1 0.0000 0.3433 0.1935
Er2 0.0000 0.5000 0.5000
Al1 0.0000 0.0000 0.3989
Al2 0.0000 0.1798 0.0000

2.
The following is a DFT calculation (PBE) of CsKRe3 after structural relaxation.

Summary:
Energy above the lowest structure with this stoichiometry in meV/atom: 0
Formation energy in eV per atom: 3.8816

a = 5.0958 Å, b = 5.0958 Å, c = 5.0958 Å
α = 90.00°, β = 90.00°, γ = 90.00°
Space group Pm-3m (No. 221)
Asymmetric unit:
Cs1 0.0000 0.0000 0.0000
K1 0.5000 0.5000 0.5000
Re1 0.0000 0.0000 0.5000

3.
The following is a DFT calculation (PBE) of Zr2InGa2 after structural relaxation.

Summary:
Energy above the lowest structure with this stoichiometry in meV/atom: 65
Formation energy in eV per atom: -0.4113

a = 4.3569 Å, b = 14.1054 Å, c = 3.1766 Å
α = 90.00°, β = 90.00°, γ = 90.00°
Space group Cmmm (No. 65)
Asymmetric unit:
Zr1 0.0000 0.1181 0.0000
In1 0.0000 0.5000 0.5000
Ga1 0.0000 0.2993 0.5000

4.
The following is a DFT calculation (PBE) of Dy4HoAg5 after structural relaxation.

Summary:
Formation energy in eV per atom: -0.3258

a = 3.6022 Å, b = 3.6022 Å, c = 18.4480 Å
α = 90.00°, β = 90.00°, γ = 90.00°
Space group P4/mmm (No. 123)
Asymmetric unit:
Dy1 0.0000 0.0000 0.1001
Dy2 0.0000 0.0000 0.3005
Ho1 0.0000 0.0000 0.5000
Ag1 0.5000 0.5000 0.0000
Ag2 0.5000 0.5000 0.2003
Ag3 0.5000 0.5000 0.4010

5.
The following is a DFT calculation (PBE) of AuICl after structural relaxation.

Summary:
Energy above the lowest structure with this stoichiometry in meV/atom: 159
Formation energy (no corrections) in eV per atom: 0.037

a = 4.0834 Å, b = 4.0834 Å, c = 6.2302 Å
α = 90.00°, β = 90.00°, γ = 120.00°
Space group P3m1 (No. 156)
Asymmetric unit:
Au1 0.0000 0.0000 0.0000
I1 0.6667 0.3333 0.2659
Cl1 0.3333 0.6667 0.7846

6.
The following is a DFT calculation (PBE) of FeRu2Pb after structural relaxation.

Summary:
Formation energy in eV per atom: 0.5212

a = 3.0170 Å, b = 3.0170 Å, c = 7.1948 Å
α = 90.00°, β = 90.00°, γ = 90.00°
Space group P4mm (No. 99)
Asymmetric unit:
Fe1 0.0000 0.0000 0.0000
Ru1 0.0000 0.0000 0.5763
Ru2 0.5000 0.5000 0.7996
Pb1 0.5000 0.5000 0.2890

7.
The following is a DFT calculation (PBE) of PrTmCBr after structural relaxation.

Summary:
Formation energy (no corrections) in eV per atom: -0.906

a = 3.7153 Å, b = 3.7153 Å, c = 21.9644 Å
α = 90.00°, β = 90.00°, γ = 120.00°
Space group R3m (No. 160, hexagonal axes)
Asymmetric unit:
Pr1 0.0000 0.0000 0.0000
Tm1 0.0000 0.0000 0.7872
C1 0.0000 0.0000 0.4022
Br1 0.0000 0.0000 0.2194

8.
The following is a DFT calculation (PBE) of CuSb2Cl after structural relaxation.

Summary:
Energy above the lowest structure with this stoichiometry in meV/atom: 394
Formation energy (no corrections) in eV per atom: 0.245

a = 6.0826 Å, b = 6.0826 Å, c = 13.1178 Å
α = 90.00°, β = 90.00°, γ = 90.00°
Space group I-42d (No. 122)
Asymmetric unit:
Cu1 0.0000 0.0000 0.0000
Sb1 0.1792 0.2500 0.1250
Cl1 0.0000 0.0000 0.5000

9.
The following is a DFT calculation (PBE) of Li3LaNp2Se6 after structural relaxation.

Summary:
Formation energy (no corrections) in eV per atom: -1.358

a = 7.2270 Å, b = 12.5199 Å, c = 6.9181 Å
α = 90.00°, β = 110.39°, γ = 90.00°
Space group C2/m (No. 12)
Asymmetric unit:
Li1 0.0000 0.0000 0.0000
Li2 0.0000 0.3309 0.0000
La1 0.0000 0.5000 0.5000
Np1 0.0000 0.1662 0.5000
Se1 0.2422 0.0000 0.7604
Se2 0.2422 0.1725 0.2436

10.
The following is a DFT calculation (PBE) of HS6I2 after structural relaxation.

Summary:
E_tot in eV per atom: -3.3110

a = 6.4938 Å, b = 7.9777 Å, c = 7.9796 Å
α = 60.24°, β = 89.16°, γ = 66.34°
Space group P-1 (No. 2)
Asymmetric unit:
H1 0.0000 0.0000 0.0000
S1 0.2181 0.3106 0.8307
S2 0.2497 0.9617 0.9281
S3 0.4577 0.7469 0.2121
I1 0.0602 0.7702 0.5825

11.
The following is a DFT calculation (PBE) of Sr2TaAg after structural relaxation.

Summary:
Energy above the lowest structure with this stoichiometry in meV/atom: 279
Formation energy in eV per atom: 0.8170

a = 7.9220 Å, b = 7.9220 Å, c = 7.9220 Å
α = 90.00°, β = 90.00°, γ = 90.00°
Space group Fm-3m (No. 225)
Asymmetric unit:
Sr1 0.2500 0.2500 0.2500
Ta1 0.0000 0.0000 0.0000
Ag1 0.0000 0.0000 0.5000

12.
The following is a DFT calculation (PBE) of Re3C2 after structural relaxation.

Summary:
Energy above the lowest structure with this stoichiometry in meV/atom: 149
Formation energy in eV per atom: 0.4729

a = 2.9014 Å, b = 2.9014 Å, c = 7.6684 Å
α = 90.00°, β = 90.00°, γ = 120.00°
Space group P-3m1 (No. 164)
Asymmetric unit:
Re1 0.0000 0.0000 0.0000
Re2 0.3333 0.6667 0.3612
C1 0.3333 0.6667 0.8140

13.
The following is a DFT calculation (PBE) of CaSb2Pt after structural relaxation.

Summary:
Formation energy (no corrections) in eV per atom: -0.287

a = 7.2724 Å, b = 7.2724 Å, c = 7.2724 Å
α = 90.00°, β = 90.00°, γ = 90.00°
Space group F-43m (No. 216)
Asymmetric unit:
Ca1 0.0000 0.0000 0.0000
Sb1 0.0000 0.0000 0.5000
Sb2 0.2500 0.2500 0.2500
Pt1 0.2500 0.2500 0.7500

14.
The following is a DFT calculation (PBE) of Pm4CoI3 after structural relaxation.

Summary:
Formation energy (no corrections) in eV per atom: -0.711

a = 3.8933 Å, b = 10.7033 Å, c = 14.2070 Å
α = 90.00°, β = 90.00°, γ = 90.00°
Space group Pmmn (No. 59, origin choice 2)
Asymmetric unit:
Pm1 0.2500 0.0656 0.0998
Pm2 0.2500 0.2500 0.8982
Pm3 0.2500 0.7500 0.7273
Co1 0.2500 0.7500 0.9547
I1 0.2500 0.0495 0.7276
I2 0.2500 0.2500 0.4438

15.
The following is a DFT calculation (PBE) of Ac2ScPd2O6 after structural relaxation.

Summary:
Formation energy (no corrections) in eV per atom: -2.002

a = 6.1634 Å, b = 6.1634 Å, c = 15.9872 Å
α = 90.00°, β = 90.00°, γ = 120.00°
Space group R-3m (No. 166, hexagonal axes)
Asymmetric unit:
Ac1 0.0000 0.0000 0.2142
Sc1 0.0000 0.0000 0.0000
Pd1 0.0000 0.0000 0.4088
O1 0.0476 0.5238 0.7582

16.
The following is a DFT calculation (PBE) of La4PrNd2Ho after structural relaxation.

Summary:
Formation energy in eV per atom: 0.0131

a = 5.2406 Å, b = 5.2671 Å, c = 10.3319 Å
α = 90.00°, β = 90.00°, γ = 90.00°
Space group Pmmm (No. 47)
Asymmetric unit:
La1 0.0000 0.0000 0.2471
La2 0.5000 0.5000 0.2473
Pr1 0.0000 0.5000 0.5000
Nd1 0.0000 0.5000 0.0000
Nd2 0.5000 0.0000 0.5000
Ho1 0.5000 0.0000 0.0000

17.
The following is a DFT calculation (PBE) of La2TaInAg after structural relaxation.

Summary:
Formation energy in eV per atom: 0.4815

a = 5.5659 Å, b = 5.5659 Å, c = 5.4213 Å
α = 90.00°, β = 90.00°, γ = 90.00°
Space group P4/mmm (No. 123)
Asymmetric unit:
La1 0.0000 0.5000 0.0000
Ta1 0.0000 0.0000 0.0000
In1 0.0000 0.0000 0.5000
Ag1 0.5000 0.5000 0.5000

18.
The following is a DFT calculation (PBE) of Er4HgIr2 after structural relaxation.

Summary:
Energy above the lowest structure with this stoichiometry in meV/atom: 29
Formation energy in eV per atom: -0.6564

a = 8.7616 Å, b = 8.7616 Å, c = 8.6574 Å
α = 90.00°, β = 90.00°, γ = 90.00°
Space group I-42d (No. 122)
Asymmetric unit:
Er1 0.0713 0.6741 0.4261
Hg1 0.0000 0.0000 0.5000
Ir1 0.1289 0.7500 0.1250

19.
The following is a DFT calculation (PBE) of Th4Ge2Rh after structural relaxation.

Summary:
Formation energy in eV per atom: -0.6569

a = 8.8492 Å, b = 8.8492 Å, c = 9.4774 Å
α = 90.00°, β = 90.00°, γ = 90.00°
Space group I-42d (No. 122)
Asymmetric unit:
Th1 0.0676 0.6958 0.4429
Ge1 0.1062 0.7500 0.1250
Rh1 0.0000 0.0000 0.5000

20.
The following is a DFT calculation (PBE) of MgCoAs2 after structural relaxation.

Summary:
Formation energy in eV per atom: -0.0291

a = 3.7510 Å, b = 5.0605 Å, c = 7.0654 Å
α = 90.00°, β = 90.00°, γ = 90.00°
Space group Immm (No. 71)
Asymmetric unit:
Mg1 0.0000 0.0000 0.0000
Co1 0.0000 0.0000 0.5000
As1 0.0000 0.5000 0.2117

21.
The following is a DFT calculation (PBE) of PmNd2Pu after structural relaxation.

Summary:
Energy above the lowest structure with this stoichiometry in meV/atom: 0
Formation energy in eV per atom: 0.1168

a = 3.5871 Å, b = 3.5871 Å, c = 10.3035 Å
α = 90.00°, β = 90.00°, γ = 90.00°
Space group P4/mmm (No. 123)
Asymmetric unit:
Pm1 0.0000 0.0000 0.0000
Nd1 0.5000 0.5000 0.2586
Pu1 0.0000 0.0000 0.5000

22.
The following is a DFT calculation (PBE) of Sm3Dy6Er2Zr after structural relaxation.

Summary:
Formation energy in eV per atom: 0.0424

a = 6.1093 Å, b = 10.5636 Å, c = 11.6629 Å
α = 90.00°, β = 99.98°, γ = 90.00°
Space group C2/m (No. 12)
Asymmetric unit:
Sm1 0.0000 0.0000 0.0000
Sm2 0.0000 0.3336 0.0000
Dy1 0.2441 0.3365 0.7421
Dy2 0.2461 0.5000 0.2582
Er1 0.0000 0.1668 0.5000
Zr1 0.0000 0.5000 0.5000

23.
The following is a DFT calculation (PBE) of CuIrF6 after structural relaxation.

Summary:
Formation energy (no corrections) in eV per atom: -1.487

a = 4.9791 Å, b = 4.9791 Å, c = 9.3860 Å
α = 90.00°, β = 90.00°, γ = 120.00°
Space group P-31c (No. 163)
Asymmetric unit:
Cu1 0.3333 0.6667 0.2500
Ir1 0.0000 0.0000 0.0000
F1 0.0066 0.3239 0.1211

24.
The following is a DFT calculation (PBE) of Ta2TePt after structural relaxation.

Summary:
Formation energy (no corrections) in eV per atom: -0.024

a = 3.9048 Å, b = 4.7195 Å, c = 8.6088 Å
α = 90.00°, β = 90.00°, γ = 90.00°
Space group Cmm2 (No. 35)
Asymmetric unit:
Ta1 0.0000 0.0000 0.0000
Ta2 0.0000 0.5000 0.2437
Te1 0.0000 0.0000 0.4894
Pt1 0.0000 0.5000 0.7928